Entry from the Alexandria database: a relaxed structure of La3Pr7Ho (PBE).

Cell lengths 7.9260, 7.9260, 6.6024 Å; angles 93.30, 93.30, 82.17 degrees
Fractional positions:
La1 0.0000 0.0000 0.0000
La2 0.1736 0.8264 0.5000
La3 0.8264 0.1736 0.5000
Pr1 0.0867 0.4310 0.2377
Pr2 0.2392 0.2392 0.7148
Pr3 0.4310 0.0867 0.2377
Pr4 0.5000 0.5000 0.5000
Pr5 0.5690 0.9133 0.7623
Pr6 0.7608 0.7608 0.2852
Pr7 0.9133 0.5690 0.7623
Ho1 0.5000 0.5000 0.0000

Values from the calculation:
The energy above the most stable polymorph in this dataset is 0 meV/atom. As for the total energy: -0.169 hartree per atom. The energy of formation is 0.2125 eV per atom.